P:
Na2Au2C after structural relaxation. Source: the Alexandria database, functional PBE.

abc: 6.088 6.088 5.305
angles: 90.00 90.00 90.00
Sites, in units of the cell vectors:
Na (0.165, 0.665, 0.500)
Na (0.665, 0.835, 0.500)
Na (0.835, 0.335, 0.500)
Na (0.335, 0.165, 0.500)
C (0.000, 0.000, 0.000)
C (0.500, 0.500, 0.000)
Au (0.270, 0.770, 0.000)
Au (0.770, 0.730, 0.000)
Au (0.730, 0.230, 0.000)
Au (0.230, 0.270, 0.000)

Calculated values
The density of states at the Fermi level is 1.265 states/eV/cell. The calculation puts the size of the total moment at 0.00 μB/f.u. Its space group is P4/mbm (127).



Q:
Na2Au2C after structural relaxation. Source: the Alexandria database, functional PBE.

abc: 3.622 3.622 7.666
angles: 76.34 76.34 90.00
Sites, in units of the cell vectors:
Na (0.750, 0.250, 0.500)
Na (0.250, 0.750, 0.500)
C (0.000, 0.000, 0.000)
Au (0.408, 0.408, 0.184)
Au (0.592, 0.592, 0.816)

Calculated values
The density of states at the Fermi level is 2.182 states/eV/cell. The calculation puts the size of the total moment at 0.00 μB/f.u. Its space group is I4/mmm (139).



Question: which arrangement is favored energetically? Ranking from most to least stable: P, Q.



P:
NaAuC3 after structural relaxation. Source: the Alexandria database, functional PBE.

abc: 4.185 4.185 4.185
angles: 90.00 90.00 90.00
Sites, in units of the cell vectors:
Na (0.000, 0.000, 0.000)
C (0.000, 0.500, 0.000)
C (0.000, 0.000, 0.500)
C (0.500, 0.000, 0.000)
Au (0.500, 0.500, 0.500)

Calculated values
The density of states at the Fermi level is 2.293 states/eV/cell. The calculation puts the size of the total moment at 0.00 μB/f.u. Its space group is Pm-3m (221).



Q:
NaAuC3 after structural relaxation. Source: the Alexandria database, functional PBE.

abc: 4.231 4.231 4.231
angles: 90.00 90.00 90.00
Sites, in units of the cell vectors:
Na (0.500, 0.500, 0.500)
C (0.000, 0.500, 0.000)
C (0.000, 0.000, 0.500)
C (0.500, 0.000, 0.000)
Au (0.000, 0.000, 0.000)

Calculated values
The density of states at the Fermi level is 2.388 states/eV/cell. The calculation puts the size of the total moment at 0.00 μB/f.u. Its space group is Pm-3m (221).



Question: which arrangement is favored energetically? Ranking from most to least stable: Q, P.



P:
Nb3AuC after structural relaxation. Source: the Alexandria database, functional PBE.

abc: 3.183 5.867 8.854
angles: 90.00 90.00 105.77
Sites, in units of the cell vectors:
Nb (0.873, 0.747, 0.538)
Nb (0.127, 0.253, 0.462)
Nb (0.127, 0.253, 0.038)
Nb (0.873, 0.747, 0.962)
Nb (0.470, 0.939, 0.250)
Nb (0.530, 0.061, 0.750)
Au (0.755, 0.510, 0.250)
Au (0.245, 0.490, 0.750)
C (0.500, 0.000, 0.000)
C (0.500, 0.000, 0.500)

Calculated values
The density of states at the Fermi level is 7.398 states/eV/cell. The calculation puts the size of the total moment at 0.00 μB/f.u. Its space group is Cmcm (63).



Q:
Nb3AuC after structural relaxation. Source: the Alexandria database, functional PBE.

abc: 4.311 4.311 4.311
angles: 90.00 90.00 90.00
Sites, in units of the cell vectors:
Nb (0.000, 0.500, 0.000)
Nb (0.000, 0.000, 0.500)
Nb (0.500, 0.000, 0.000)
Au (0.500, 0.500, 0.500)
C (0.000, 0.000, 0.000)

Calculated values
The density of states at the Fermi level is 1.523 states/eV/cell. The calculation puts the size of the total moment at 0.00 μB/f.u. Its space group is Pm-3m (221).



R:
Nb3AuC after structural relaxation. Source: the Alexandria database, functional PBE.

abc: 4.946 4.946 4.946
angles: 90.00 90.00 90.00
Sites, in units of the cell vectors:
Nb (0.000, 0.500, 0.000)
Nb (0.000, 0.000, 0.500)
Nb (0.500, 0.000, 0.000)
Au (0.000, 0.000, 0.000)
C (0.500, 0.500, 0.500)

Calculated values
The density of states at the Fermi level is 6.235 states/eV/cell. The calculation puts the size of the total moment at 0.00 μB/f.u. Its space group is Pm-3m (221).



Question: which arrangement is favored energetically? Ranking from most to least stable: P, Q, R.



P:
NbAuC2 after structural relaxation. Source: the Alexandria database, functional PBE.

abc: 4.930 4.930 5.967
angles: 65.60 65.60 90.00
Sites, in units of the cell vectors:
Nb (0.500, 0.500, 0.000)
Nb (0.250, 0.750, 0.500)
Au (0.000, 0.000, 0.000)
Au (0.750, 0.250, 0.500)
C (0.608, 0.125, 0.250)
C (0.142, 0.625, 0.250)
C (0.375, 0.392, 0.750)
C (0.875, 0.858, 0.750)

Calculated values
The density of states at the Fermi level is 3.896 states/eV/cell. The calculation puts the size of the total moment at 0.00 μB/f.u. Its space group is I-42d (122).



Q:
NbAuC2 after structural relaxation. Source: the Alexandria database, functional PBE.

abc: 4.032 4.032 4.032
angles: 60.00 60.00 60.00
Sites, in units of the cell vectors:
Nb (0.000, 0.000, 0.000)
Au (0.500, 0.500, 0.500)
C (0.250, 0.250, 0.250)
C (0.750, 0.750, 0.750)

Calculated values
The density of states at the Fermi level is 1.753 states/eV/cell. The calculation puts the size of the total moment at 0.00 μB/f.u. Its space group is Fm-3m (225).



Question: which arrangement is favored energetically? Ranking from most to least stable: P, Q.



P:
Nd3AuC after structural relaxation. Source: the Alexandria database, functional PBE.

abc: 5.054 5.054 5.054
angles: 90.00 90.00 90.00
Sites, in units of the cell vectors:
Nd (0.000, 0.500, 0.000)
Nd (0.000, 0.000, 0.500)
Nd (0.500, 0.000, 0.000)
C (0.000, 0.000, 0.000)
Au (0.500, 0.500, 0.500)

Calculated values
The density of states at the Fermi level is 5.703 states/eV/cell. The calculation puts the size of the total moment at 0.00 μB/f.u. Its space group is Pm-3m (221).



Q:
Nd3AuC after structural relaxation. Source: the Alexandria database, functional PBE.

abc: 3.808 8.955 14.710
angles: 90.00 90.00 90.00
Sites, in units of the cell vectors:
Nd (0.750, 0.195, 0.307)
Nd (0.250, 0.676, 0.977)
Nd (0.250, 0.013, 0.103)
Nd (0.250, 0.513, 0.397)
Nd (0.250, 0.176, 0.523)
Nd (0.750, 0.487, 0.603)
Nd (0.250, 0.305, 0.807)
Nd (0.750, 0.987, 0.897)
Nd (0.750, 0.324, 0.023)
Nd (0.750, 0.695, 0.193)
Nd (0.750, 0.824, 0.477)
Nd (0.250, 0.805, 0.693)
Au (0.250, 0.906, 0.317)
Au (0.750, 0.094, 0.683)
Au (0.750, 0.594, 0.817)
Au (0.250, 0.406, 0.183)
C (0.250, 0.660, 0.549)
C (0.750, 0.340, 0.451)
C (0.750, 0.840, 0.049)
C (0.250, 0.160, 0.951)

Calculated values
The density of states at the Fermi level is 20.822 states/eV/cell. The calculation puts the size of the total moment at 0.00 μB/f.u. Its space group is Pnma (62).



Question: which arrangement is favored energetically? Ranking from most to least stable: Q, P.



P:
NiAuC3 after structural relaxation. Source: the Alexandria database, functional PBE.

abc: 4.076 4.076 4.076
angles: 90.00 90.00 90.00
Sites, in units of the cell vectors:
Ni (0.500, 0.500, 0.500)
C (0.000, 0.500, 0.000)
C (0.000, 0.000, 0.500)
C (0.500, 0.000, 0.000)
Au (0.000, 0.000, 0.000)

Calculated values
The density of states at the Fermi level is 2.904 states/eV/cell. The calculation puts the size of the total moment at 0.00 μB/f.u. Its space group is Pm-3m (221).



Q:
NiAuC3 after structural relaxation. Source: the Alexandria database, functional PBE.

abc: 3.817 3.817 3.817
angles: 90.00 90.00 90.00
Sites, in units of the cell vectors:
Ni (0.000, 0.000, 0.000)
C (0.000, 0.500, 0.000)
C (0.000, 0.000, 0.500)
C (0.500, 0.000, 0.000)
Au (0.500, 0.500, 0.500)

Calculated values
The density of states at the Fermi level is 1.216 states/eV/cell. The calculation puts the size of the total moment at 0.00 μB/f.u. Its space group is Pm-3m (221).



Question: which arrangement is favored energetically? Ranking from most to least stable: Q, P.



P:
AuC2O after structural relaxation. Source: the Alexandria database, functional PBE.

abc: 3.866 3.866 3.866
angles: 60.00 60.00 60.00
Sites, in units of the cell vectors:
C (0.250, 0.250, 0.250)
C (0.750, 0.750, 0.750)
Au (0.500, 0.500, 0.500)
O (0.000, 0.000, 0.000)

Calculated values
The density of states at the Fermi level is 3.077 states/eV/cell. The calculation puts the size of the total moment at 0.00 μB/f.u. Its space group is Fm-3m (225).



Q:
AuC2O after structural relaxation. Source: the Alexandria database, functional PBE.

abc: 4.699 4.699 5.392
angles: 64.17 64.17 90.00
Sites, in units of the cell vectors:
C (0.572, 0.125, 0.250)
C (0.178, 0.625, 0.250)
C (0.375, 0.428, 0.750)
C (0.875, 0.822, 0.750)
Au (0.000, 0.000, 0.000)
Au (0.750, 0.250, 0.500)
O (0.500, 0.500, 0.000)
O (0.250, 0.750, 0.500)

Calculated values
The density of states at the Fermi level is 2.362 states/eV/cell. The calculation puts the size of the total moment at 0.00 μB/f.u. Its space group is I-42d (122).



Question: which arrangement is favored energetically? Ranking from most to least stable: Q, P.



P:
AuCO2 after structural relaxation. Source: the Alexandria database, functional PBE.

abc: 3.884 3.884 3.884
angles: 60.00 60.00 60.00
Last column: magnetic moment on the atom in μB.
Sites, in units of the cell vectors:
C (0.000, 0.000, 0.000)  -0.09
Au (0.500, 0.500, 0.500)  0.40
O (0.250, 0.250, 0.250)  0.34
O (0.750, 0.750, 0.750)  0.34

Calculated values
The density of states at the Fermi level is 1.685 states/eV/cell. The calculation puts the size of the total moment at 1.00 μB/f.u. Its space group is Fm-3m (225).



Q:
AuCO2 after structural relaxation. Source: the Alexandria database, functional PBE.

abc: 4.868 4.868 4.870
angles: 60.02 60.02 90.00
Sites, in units of the cell vectors:
C (0.500, 0.500, 0.000)
C (0.250, 0.750, 0.500)
Au (0.000, 0.000, 0.000)
Au (0.750, 0.250, 0.500)
O (0.375, 0.125, 0.250)
O (0.375, 0.625, 0.250)
O (0.375, 0.625, 0.750)
O (0.875, 0.625, 0.750)

Calculated values
The density of states at the Fermi level is 2.155 states/eV/cell. The calculation puts the size of the total moment at 0.00 μB/f.u. Its space group is Fd-3m (227).



R:
AuCO2 after structural relaxation. Source: the Alexandria database, functional PBE.

abc: 8.702 8.702 8.702
angles: 18.80 18.80 18.80
Sites, in units of the cell vectors:
C (0.000, 0.000, 0.000)
Au (0.500, 0.500, 0.500)
O (0.954, 0.954, 0.954)
O (0.046, 0.046, 0.046)

Calculated values
The density of states at the Fermi level is 0.242 states/eV/cell. The calculation puts the size of the total moment at 0.00 μB/f.u. Its space group is R-3m (166).



Question: which arrangement is favored energetically? Ranking from most to least stable: R, Q, P.



P:
P2AuCO after structural relaxation. Source: the Alexandria database, functional PBE.

abc: 4.837 4.837 3.878
angles: 90.00 90.00 90.00
Last column: magnetic moment on the atom in μB.
Sites, in units of the cell vectors:
P (0.000, 0.500, 0.000)  -0.07
P (0.500, 0.000, 0.000)  -0.07
C (0.500, 0.500, 0.500)  0.23
Au (0.000, 0.000, 0.000)  0.01
O (0.000, 0.000, 0.500)  0.15

Calculated values
The density of states at the Fermi level is 3.976 states/eV/cell. The calculation puts the size of the total moment at 0.33 μB/f.u. Its space group is P4/mmm (123).



Q:
P2AuCO after structural relaxation. Source: the Alexandria database, functional PBE.

abc: 4.334 4.334 3.236
angles: 90.00 90.00 90.00
Sites, in units of the cell vectors:
P (0.000, 0.500, 0.000)
P (0.500, 0.000, 0.000)
C (0.000, 0.000, 0.000)
Au (0.500, 0.500, 0.500)
O (0.000, 0.000, 0.500)

Calculated values
The density of states at the Fermi level is 2.826 states/eV/cell. The calculation puts the size of the total moment at 0.00 μB/f.u. Its space group is P4/mmm (123).



Question: which arrangement is favored energetically? Ranking from most to least stable: Q, P.



P:
Os3AuC after structural relaxation. Source: the Alexandria database, functional PBE.

abc: 4.922 4.922 4.922
angles: 90.00 90.00 90.00
Last column: magnetic moment on the atom in μB.
Sites, in units of the cell vectors:
Os (0.000, 0.500, 0.000)  2.33
Os (0.000, 0.000, 0.500)  2.75
Os (0.500, 0.000, 0.000)  1.79
C (0.500, 0.500, 0.500)  -0.57
Au (0.000, 0.000, 0.000)  0.29

Calculated values
The density of states at the Fermi level is 5.897 states/eV/cell. The calculation puts the size of the total moment at 6.63 μB/f.u. Its space group is Pm-3m (221).



Q:
Os3AuC after structural relaxation. Source: the Alexandria database, functional PBE.

abc: 4.101 4.101 4.101
angles: 90.00 90.00 90.00
Last column: magnetic moment on the atom in μB.
Sites, in units of the cell vectors:
Os (0.000, 0.500, 0.000)  0.37
Os (0.000, 0.000, 0.500)  0.17
Os (0.500, 0.000, 0.000)  0.52
C (0.000, 0.000, 0.000)  -0.01
Au (0.500, 0.500, 0.500)  0.12

Calculated values
The density of states at the Fermi level is 3.623 states/eV/cell. The calculation puts the size of the total moment at 1.17 μB/f.u. Its space group is Pm-3m (221).



Question: which arrangement is favored energetically? Ranking from most to least stable: Q, P.



P:
OsAuC3 after structural relaxation. Source: the Alexandria database, functional PBE.

abc: 4.028 4.028 4.028
angles: 90.00 90.00 90.00
Sites, in units of the cell vectors:
Os (0.000, 0.000, 0.000)
C (0.000, 0.500, 0.000)
C (0.000, 0.000, 0.500)
C (0.500, 0.000, 0.000)
Au (0.500, 0.500, 0.500)

Calculated values
The density of states at the Fermi level is 1.954 states/eV/cell. The calculation puts the size of the total moment at 0.00 μB/f.u. Its space group is Pm-3m (221).



Q:
OsAuC3 after structural relaxation. Source: the Alexandria database, functional PBE.

abc: 4.010 4.010 4.010
angles: 90.00 90.00 90.00
Sites, in units of the cell vectors:
Os (0.500, 0.500, 0.500)
C (0.000, 0.500, 0.000)
C (0.000, 0.000, 0.500)
C (0.500, 0.000, 0.000)
Au (0.000, 0.000, 0.000)

Calculated values
The density of states at the Fermi level is 2.901 states/eV/cell. The calculation puts the size of the total moment at 0.00 μB/f.u. Its space group is Pm-3m (221).



Question: which arrangement is favored energetically? Ranking from most to least stable: P, Q.



P:
P3AuC after structural relaxation. Source: the Alexandria database, functional PBE.

abc: 4.793 4.793 4.793
angles: 90.00 90.00 90.00
Sites, in units of the cell vectors:
P (0.000, 0.500, 0.000)
P (0.000, 0.000, 0.500)
P (0.500, 0.000, 0.000)
C (0.500, 0.500, 0.500)
Au (0.000, 0.000, 0.000)

Calculated values
The density of states at the Fermi level is 6.088 states/eV/cell. The calculation puts the size of the total moment at 0.00 μB/f.u. Its space group is Pm-3m (221).



Q:
P3AuC after structural relaxation. Source: the Alexandria database, functional PBE.

abc: 4.104 4.104 4.104
angles: 90.00 90.00 90.00
Sites, in units of the cell vectors:
P (0.000, 0.500, 0.000)
P (0.000, 0.000, 0.500)
P (0.500, 0.000, 0.000)
C (0.000, 0.000, 0.000)
Au (0.500, 0.500, 0.500)

Calculated values
The density of states at the Fermi level is 2.384 states/eV/cell. The calculation puts the size of the total moment at 0.00 μB/f.u. Its space group is Pm-3m (221).



Question: which arrangement is favored energetically? Ranking from most to least stable: Q, P.